Compound: UGaBiO6
Source: Alexandria
Functional: PBE-GGA
Structure: relaxed

Unit cell a=5.408 b=5.408 c=10.112 alpha=90.00 beta=90.00 gamma=120.00
Fractional coordinates of all 18 atoms:
U 0.333 0.667 0.250
U 0.667 0.333 0.750
Ga 0.333 0.667 0.750
Ga 0.667 0.333 0.250
Bi 0.000 0.000 0.000
Bi 0.000 0.000 0.500
O 0.010 0.363 0.640
O 0.010 0.647 0.860
O 0.353 0.363 0.860
O 0.353 0.990 0.640
O 0.363 0.010 0.140
O 0.363 0.353 0.360
O 0.637 0.647 0.640
O 0.637 0.990 0.860
O 0.647 0.010 0.360
O 0.647 0.637 0.140
O 0.990 0.353 0.140
O 0.990 0.637 0.360

Calculated values
The calculation puts the total energy at -135.10 eV/cell. As for the symmetry: No. 163. The calculation puts the uncorrected formation energy at -2178.3 meV per atom. As for the volume: 14.2 Å³/atom.

Compound: Sm12Y3Cd
Source: Alexandria
Functional: PBE-GGA
Structure: relaxed

Unit cell a=5.051 b=5.051 c=20.454 alpha=90.00 beta=90.00 gamma=90.00
Fractional coordinates of all 16 atoms:
Sm 0.000 0.000 0.000
Sm 0.000 0.000 0.245
Sm 0.000 0.000 0.500
Sm 0.000 0.000 0.755
Sm 0.000 0.500 0.121
Sm 0.000 0.500 0.374
Sm 0.000 0.500 0.626
Sm 0.000 0.500 0.879
Sm 0.500 0.000 0.121
Sm 0.500 0.000 0.374
Sm 0.500 0.000 0.626
Sm 0.500 0.000 0.879
Y 0.500 0.500 0.248
Y 0.500 0.500 0.500
Y 0.500 0.500 0.752
Cd 0.500 0.500 0.000

Calculated values
The calculation puts the total energy at -77.04 eV/cell. As for the symmetry: No. 123. As for the volume: 32.6 Å³/atom. For the energy of formation from the pure elements, the calculation gives -10 kJ/mol of formula units.

Compound: YMg2Zn10
Source: Alexandria
Functional: PBE-GGA
Structure: relaxed

Unit cell a=8.932 b=6.962 c=6.826 alpha=80.75 beta=50.29 gamma=48.96
Fractional coordinates of all 13 atoms:
Y 0.000 0.000 0.000
Mg 0.000 0.500 0.000
Mg 0.500 0.000 0.500
Zn 0.000 0.000 0.500
Zn 0.008 0.646 0.354
Zn 0.286 0.505 0.495
Zn 0.354 0.992 0.008
Zn 0.495 0.714 0.286
Zn 0.500 0.500 0.000
Zn 0.505 0.286 0.714
Zn 0.646 0.008 0.992
Zn 0.714 0.495 0.505
Zn 0.992 0.354 0.646

Calculated values
The calculation puts the total energy at -24.24 eV/cell. As for the symmetry: No. 69. As for the volume: 17.0 Å³/atom. For the energy of formation from the pure elements, the calculation gives -178 kJ/mol of formula units.

Compound: TlReCl2
Source: Alexandria
Functional: PBE-GGA
Structure: relaxed

Unit cell a=5.533 b=3.266 c=5.693 alpha=90.00 beta=90.51 gamma=90.00
Fractional coordinates of all 4 atoms:
Tl 0.000 0.000 0.000
Re 0.500 0.500 0.500
Cl 0.000 0.000 0.500
Cl 0.500 0.500 0.000

Calculated values
The calculation puts the total energy at -15.43 eV/cell. As for the symmetry: No. 10. The calculation puts the uncorrected formation energy at 769.0 meV per atom. As for the volume: 25.7 Å³/atom.

Compound: ScPtSe2
Source: Alexandria
Functional: PBE-GGA
Structure: relaxed

Unit cell a=5.022 b=5.022 c=14.801 alpha=90.00 beta=90.00 gamma=90.00
Fractional coordinates of all 16 atoms:
Sc 0.000 0.000 0.000
Sc 0.000 0.500 0.250
Sc 0.500 0.000 0.750
Sc 0.500 0.500 0.500
Pt 0.000 0.000 0.500
Pt 0.000 0.500 0.750
Pt 0.500 0.000 0.250
Pt 0.500 0.500 0.000
Se 0.232 0.250 0.625
Se 0.250 0.732 0.875
Se 0.250 0.768 0.375
Se 0.268 0.250 0.125
Se 0.732 0.750 0.125
Se 0.750 0.232 0.375
Se 0.750 0.268 0.875
Se 0.768 0.750 0.625

Calculated values
The calculation puts the total energy at -89.22 eV/cell. As for the symmetry: No. 122. The calculation puts the uncorrected formation energy at -740.7 meV per atom. As for the volume: 23.3 Å³/atom.

Compound: AgTeBr2
Source: Alexandria
Functional: PBE-GGA
Structure: relaxed

Unit cell a=9.088 b=10.234 c=5.969 alpha=90.00 beta=90.00 gamma=90.00
Fractional coordinates of all 16 atoms:
Ag 0.016 0.051 0.000
Ag 0.484 0.551 0.500
Ag 0.516 0.449 0.000
Ag 0.984 0.949 0.500
Te 0.044 0.531 0.698
Te 0.456 0.031 0.198
Te 0.544 0.969 0.698
Te 0.956 0.469 0.198
Br 0.145 0.277 0.200
Br 0.156 0.863 0.192
Br 0.344 0.363 0.692
Br 0.355 0.777 0.700
Br 0.645 0.223 0.200
Br 0.656 0.637 0.192
Br 0.844 0.137 0.692
Br 0.855 0.723 0.700

Calculated values
The calculation puts the total energy at -39.79 eV/cell. As for the symmetry: No. 33. The calculation puts the uncorrected formation energy at -152.4 meV per atom. As for the volume: 34.7 Å³/atom.

Compound: CsCaAl2Br8
Source: Alexandria
Functional: PBE-GGA
Structure: relaxed

Unit cell a=11.034 b=11.034 c=11.034 alpha=37.59 beta=37.59 gamma=37.59
Fractional coordinates of all 12 atoms:
Cs 0.000 0.000 0.000
Ca 0.500 0.500 0.500
Al 0.246 0.246 0.246
Al 0.754 0.754 0.754
Br 0.105 0.780 0.445
Br 0.220 0.555 0.895
Br 0.322 0.322 0.322
Br 0.445 0.105 0.780
Br 0.555 0.895 0.220
Br 0.678 0.678 0.678
Br 0.780 0.445 0.105
Br 0.895 0.220 0.555

Calculated values
The calculation puts the total energy at -39.31 eV/cell. As for the symmetry: No. 148. The calculation puts the uncorrected formation energy at -1298.6 meV per atom. As for the volume: 37.4 Å³/atom.

Compound: CdAs2Ru
Source: Alexandria
Functional: PBE-GGA
Structure: relaxed

Unit cell a=3.042 b=3.092 c=16.603 alpha=90.00 beta=90.00 gamma=90.00
Fractional coordinates of all 8 atoms:
Cd 0.000 0.000 0.000
Cd 0.500 0.500 0.500
As 0.000 0.000 0.640
As 0.000 0.500 0.839
As 0.500 0.000 0.339
As 0.500 0.500 0.140
Ru 0.000 0.500 0.260
Ru 0.500 0.000 0.760

Calculated values
The calculation puts the total energy at -38.97 eV/cell. As for the symmetry: No. 44. As for the volume: 19.5 Å³/atom. For the energy of formation from the pure elements, the calculation gives 0 kJ/mol of formula units.